Entry 1:
# HfPdSN2

Crystalline HfPdSN2 at its relaxed geometry (PBE, Alexandria).

The structure in POSCAR format:
```
HfPdSN2
1.0
4.099 0.000 0.000
0.000 4.099 0.000
0.000 0.000 5.156
Hf Pd S N
1 1 1 2
direct
0.000 0.000 0.000
0.500 0.500 0.500
0.000 0.000 0.500
0.000 0.500 0.000
0.500 0.000 0.000
```

Polymorph energy (0 for the lowest one) in meV/atom: 0
Crystal system: tetragonal
ΔE_f (raw) in eV/atom: 0.48
SG: P4/mmm
E_tot in eV/f.u.: -33.5

Entry 2:
# HfPdS2N

Crystalline HfPdS2N at its relaxed geometry (PBE, Alexandria).

The structure in POSCAR format:
```
HfPdS2N
1.0
4.739 0.000 0.000
0.000 4.739 0.000
0.000 0.000 3.765
Hf Pd S N
1 1 2 1
direct
0.000 0.000 0.000
0.500 0.500 0.500
0.000 0.500 0.500
0.500 0.000 0.500
0.500 0.500 0.000
```

Polymorph energy (0 for the lowest one) in meV/atom: 311
Crystal system: tetragonal
ΔE_f (raw) in eV/atom: 0.46
SG: P4/mmm
E_tot in eV/f.u.: -29.4

Entry 3:
# HfPdSN2

Crystalline HfPdSN2 at its relaxed geometry (PBE, Alexandria).

The structure in POSCAR format:
```
HfPdSN2
1.0
3.960 0.000 0.000
0.000 3.960 0.000
0.000 0.000 4.513
Hf Pd S N
1 1 1 2
direct
0.000 0.000 0.000
0.500 0.500 0.500
0.500 0.500 0.000
0.000 0.500 0.500
0.500 0.000 0.500
```

Polymorph energy (0 for the lowest one) in meV/atom: 387
Crystal system: tetragonal
ΔE_f (raw) in eV/atom: 0.87
SG: P4/mmm
E_tot in eV/f.u.: -31.6

Entry 4:
# Hf2ScPdN

Crystalline Hf2ScPdN at its relaxed geometry (PBE, Alexandria).

The structure in POSCAR format:
```
Hf2ScPdN
1.0
4.391 0.000 0.000
0.000 4.391 0.000
0.000 0.000 4.359
Hf Sc Pd N
2 1 1 1
direct
0.000 0.500 0.000
0.500 0.000 0.000
0.000 0.000 0.500
0.500 0.500 0.500
0.000 0.000 0.000
```

Crystal system: tetragonal
ΔE_f (raw) in eV/atom: -0.99
SG: P4/mmm
E_tot in eV/f.u.: -44.7

Entry 5:
# HfSc2PdN

Crystalline HfSc2PdN at its relaxed geometry (PBE, Alexandria).

The structure in POSCAR format:
```
HfSc2PdN
1.0
4.360 0.000 0.000
0.000 4.360 0.000
0.000 0.000 4.423
Hf Sc Pd N
1 2 1 1
direct
0.000 0.000 0.000
0.000 0.500 0.500
0.500 0.000 0.500
0.500 0.500 0.000
0.000 0.000 0.500
```

Crystal system: tetragonal
ΔE_f (raw) in eV/atom: -1.03
SG: P4/mmm
E_tot in eV/f.u.: -41.3

Entry 6:
# HfPdSeN2

Crystalline HfPdSeN2 at its relaxed geometry (PBE, Alexandria).

The structure in POSCAR format:
```
HfPdSeN2
1.0
4.004 0.000 0.000
0.000 4.004 0.000
0.000 0.000 4.761
Hf Pd Se N
1 1 1 2
direct
0.000 0.000 0.000
0.500 0.500 0.500
0.500 0.500 0.000
0.000 0.500 0.500
0.500 0.000 0.500
```

Polymorph energy (0 for the lowest one) in meV/atom: 568
Crystal system: tetragonal
ΔE_f (raw) in eV/atom: 1.01
SG: P4/mmm
E_tot in eV/f.u.: -30.2

Entry 7:
# HfPdSeN2

Crystalline HfPdSeN2 at its relaxed geometry (PBE, Alexandria).

The structure in POSCAR format:
```
HfPdSeN2
1.0
4.078 0.000 0.000
0.000 4.078 0.000
0.000 0.000 5.510
Hf Pd Se N
1 1 1 2
direct
0.000 0.000 0.000
0.500 0.500 0.500
0.000 0.000 0.500
0.000 0.500 0.000
0.500 0.000 0.000
```

Polymorph energy (0 for the lowest one) in meV/atom: 0
Crystal system: tetragonal
ΔE_f (raw) in eV/atom: 0.45
SG: P4/mmm
E_tot in eV/f.u.: -33.1

Entry 8:
# HfPd2SeN

Crystalline HfPd2SeN at its relaxed geometry (PBE, Alexandria).

The structure in POSCAR format:
```
HfPd2SeN
1.0
3.913 0.000 0.000
0.000 3.913 0.000
0.000 0.000 5.645
Hf Pd Se N
1 2 1 1
direct
0.000 0.000 0.000
0.000 0.500 0.500
0.500 0.000 0.500
0.500 0.500 0.000
0.500 0.500 0.500
```

Crystal system: tetragonal
ΔE_f (raw) in eV/atom: 0.16
SG: P4/mmm
E_tot in eV/f.u.: -31.3

Entry 9:
# HfTa2PdN

Crystalline HfTa2PdN at its relaxed geometry (PBE, Alexandria).

The structure in POSCAR format:
```
HfTa2PdN
1.0
4.189 0.000 0.000
0.000 4.189 0.000
0.000 0.000 4.487
Hf Ta Pd N
1 2 1 1
direct
0.000 0.000 0.000
0.000 0.500 0.500
0.500 0.000 0.500
0.500 0.500 0.000
0.000 0.000 0.500
```

Crystal system: tetragonal
ΔE_f (raw) in eV/atom: -0.67
SG: P4/mmm
E_tot in eV/f.u.: -50.5

Entry 10:
# HfTePdN2

Crystalline HfTePdN2 at its relaxed geometry (PBE, Alexandria).

The structure in POSCAR format:
```
HfTePdN2
1.0
4.105 0.000 0.000
0.000 4.105 0.000
0.000 0.000 5.080
Hf Te Pd N
1 1 1 2
direct
0.000 0.000 0.000
0.500 0.500 0.000
0.500 0.500 0.500
0.000 0.500 0.500
0.500 0.000 0.500
```

Polymorph energy (0 for the lowest one) in meV/atom: 842
Crystal system: tetragonal
ΔE_f (raw) in eV/atom: 1.27
SG: P4/mmm
E_tot in eV/f.u.: -28.6

Entry 11:
# HfTe2PdN

Crystalline HfTe2PdN at its relaxed geometry (PBE, Alexandria).

The structure in POSCAR format:
```
HfTe2PdN
1.0
5.457 0.000 0.000
0.000 5.457 0.000
0.000 0.000 3.723
Hf Te Pd N
1 2 1 1
direct
0.000 0.000 0.000
0.000 0.500 0.500
0.500 0.000 0.500
0.500 0.500 0.500
0.500 0.500 0.000
```

Polymorph energy (0 for the lowest one) in meV/atom: 356
Crystal system: tetragonal
ΔE_f (raw) in eV/atom: 0.57
SG: P4/mmm
E_tot in eV/f.u.: -26.9

Entry 12:
# HfTe2PdN

Crystalline HfTe2PdN at its relaxed geometry (PBE, Alexandria).

The structure in POSCAR format:
```
HfTe2PdN
1.0
5.682 0.000 0.000
0.000 5.682 0.000
0.000 0.000 3.888
Hf Te Pd N
1 2 1 1
direct
0.000 0.000 0.000
0.000 0.500 0.000
0.500 0.000 0.000
0.500 0.500 0.500
0.000 0.000 0.500
```

Polymorph energy (0 for the lowest one) in meV/atom: 0
Crystal system: tetragonal
ΔE_f (raw) in eV/atom: 0.21
SG: P4/mmm
E_tot in eV/f.u.: -28.7

Entry 13:
# HfTePdN2

Crystalline HfTePdN2 at its relaxed geometry (PBE, Alexandria).

The structure in POSCAR format:
```
HfTePdN2
1.0
4.061 0.000 0.000
0.000 4.061 0.000
0.000 0.000 6.092
Hf Te Pd N
1 1 1 2
direct
0.000 0.000 0.000
0.000 0.000 0.500
0.500 0.500 0.500
0.000 0.500 0.000
0.500 0.000 0.000
```

Polymorph energy (0 for the lowest one) in meV/atom: 0
Crystal system: tetragonal
ΔE_f (raw) in eV/atom: 0.42
SG: P4/mmm
E_tot in eV/f.u.: -32.8

Entry 14:
# Hf2TiPdN

Crystalline Hf2TiPdN at its relaxed geometry (PBE, Alexandria).

The structure in POSCAR format:
```
Hf2TiPdN
1.0
3.454 0.000 0.000
0.000 3.454 0.000
0.000 0.000 13.167
Hf Ti Pd N
4 2 2 2
direct
0.250 0.250 0.082
0.250 0.250 0.755
0.750 0.750 0.245
0.750 0.750 0.918
0.250 0.750 0.500
0.750 0.250 0.500
0.250 0.250 0.330
0.750 0.750 0.670
0.250 0.250 0.917
0.750 0.750 0.083
```

Polymorph energy (0 for the lowest one) in meV/atom: 187
Crystal system: tetragonal
ΔE_f (raw) in eV/atom: -0.81
SG: P4/nmm
E_tot in eV/f.u.: -45.4

Entry 15:
# Hf2TiPdN

Crystalline Hf2TiPdN at its relaxed geometry (PBE, Alexandria).

The structure in POSCAR format:
```
Hf2TiPdN
1.0
4.400 0.000 0.000
0.000 4.400 0.000
0.000 0.000 4.104
Hf Ti Pd N
2 1 1 1
direct
0.000 0.500 0.000
0.500 0.000 0.000
0.000 0.000 0.500
0.500 0.500 0.500
0.000 0.000 0.000
```

Polymorph energy (0 for the lowest one) in meV/atom: 0
Crystal system: tetragonal
ΔE_f (raw) in eV/atom: -1.00
SG: P4/mmm
E_tot in eV/f.u.: -46.3

Entry 16:
# Hf2VPdN

Crystalline Hf2VPdN at its relaxed geometry (PBE, Alexandria).

The structure in POSCAR format:
```
Hf2VPdN
1.0
4.449 0.000 0.000
0.000 4.449 0.000
0.000 0.000 3.858
Hf V Pd N
2 1 1 1
direct
0.000 0.500 0.000
0.500 0.000 0.000
0.000 0.000 0.500
0.500 0.500 0.500
0.000 0.000 0.000
```

Crystal system: tetragonal
ΔE_f (raw) in eV/atom: -0.91
SG: P4/mmm
E_tot in eV/f.u.: -47.1

Entry 17:
# HfV2PdN

Crystalline HfV2PdN at its relaxed geometry (PBE, Alexandria).

The structure in POSCAR format:
```
HfV2PdN
1.0
3.934 0.000 0.000
0.000 3.934 0.000
0.000 0.000 4.457
Hf V Pd N
1 2 1 1
direct
0.000 0.000 0.000
0.000 0.500 0.500
0.500 0.000 0.500
0.500 0.500 0.000
0.000 0.000 0.500
```

Crystal system: tetragonal
ΔE_f (raw) in eV/atom: -0.76
SG: P4/mmm
E_tot in eV/f.u.: -45.5

Entry 18:
# HfPdW2N

Crystalline HfPdW2N at its relaxed geometry (PBE, Alexandria).

The structure in POSCAR format:
```
HfPdW2N
1.0
4.118 0.000 0.000
0.000 4.118 0.000
0.000 0.000 4.448
Hf Pd W N
1 1 2 1
direct
0.000 0.000 0.000
0.500 0.500 0.000
0.000 0.500 0.500
0.500 0.000 0.500
0.500 0.500 0.500
```

Crystal system: tetragonal
ΔE_f (raw) in eV/atom: -0.10
SG: P4/mmm
E_tot in eV/f.u.: -49.9

Entry 19:
# Y2HfPdN

Crystalline Y2HfPdN at its relaxed geometry (PBE, Alexandria).

The structure in POSCAR format:
```
Y2HfPdN
1.0
4.834 0.000 0.000
0.000 4.834 0.000
0.000 0.000 4.274
Y Hf Pd N
2 1 1 1
direct
0.000 0.500 0.000
0.500 0.000 0.000
0.000 0.000 0.500
0.500 0.500 0.500
0.000 0.000 0.000
```

Crystal system: tetragonal
ΔE_f (raw) in eV/atom: -0.88
SG: P4/mmm
E_tot in eV/f.u.: -40.8

Entry 20:
# Hf2ZnPdN

Crystalline Hf2ZnPdN at its relaxed geometry (PBE, Alexandria).

The structure in POSCAR format:
```
Hf2ZnPdN
1.0
3.457 0.000 0.000
0.000 3.457 0.000
0.000 0.000 12.824
Hf Zn Pd N
4 2 2 2
direct
0.250 0.250 0.084
0.250 0.250 0.749
0.750 0.750 0.251
0.750 0.750 0.916
0.250 0.750 0.500
0.750 0.250 0.500
0.250 0.250 0.338
0.750 0.750 0.662
0.250 0.250 0.915
0.750 0.750 0.085
```

Crystal system: tetragonal
ΔE_f (raw) in eV/atom: -0.90
SG: P4/nmm
E_tot in eV/f.u.: -39.2

Entry 21:
# Hf2ZrPdN

Crystalline Hf2ZrPdN at its relaxed geometry (PBE, Alexandria).

The structure in POSCAR format:
```
Hf2ZrPdN
1.0
4.391 0.000 0.000
0.000 4.391 0.000
0.000 0.000 4.452
Hf Zr Pd N
2 1 1 1
direct
0.000 0.500 0.000
0.500 0.000 0.000
0.000 0.000 0.500
0.500 0.500 0.500
0.000 0.000 0.000
```

Crystal system: tetragonal
ΔE_f (raw) in eV/atom: -0.94
SG: P4/mmm
E_tot in eV/f.u.: -46.7

Entry 22:
# HfZr2PdN

Crystalline HfZr2PdN at its relaxed geometry (PBE, Alexandria).

The structure in POSCAR format:
```
HfZr2PdN
1.0
4.458 0.000 0.000
0.000 4.458 0.000
0.000 0.000 4.387
Hf Zr Pd N
1 2 1 1
direct
0.000 0.000 0.000
0.000 0.500 0.500
0.500 0.000 0.500
0.500 0.500 0.000
0.000 0.000 0.500
```

Crystal system: tetragonal
ΔE_f (raw) in eV/atom: -0.93
SG: P4/mmm
E_tot in eV/f.u.: -45.2

Entry 23:
# PmHf2N

Crystalline PmHf2N at its relaxed geometry (PBE, Alexandria).

The structure in POSCAR format:
```
PmHf2N
1.0
1.623 0.937 8.865
-1.623 0.937 8.865
0.000 -1.874 8.865
Pm Hf N
1 2 1
direct
0.000 0.000 0.000
0.121 0.121 0.121
0.879 0.879 0.879
0.500 0.500 0.500
```

Crystal system: trigonal
ΔE_f (raw) in eV/atom: -0.64
SG: R-3m
E_tot in eV/f.u.: -35.5

Entry 24:
# PmHfN2

Crystalline PmHfN2 at its relaxed geometry (PBE, Alexandria).

The structure in POSCAR format:
```
PmHfN2
1.0
1.649 0.952 5.910
-1.649 0.952 5.910
0.000 -1.904 5.910
Pm Hf N
1 1 2
direct
0.000 0.000 0.000
0.827 0.827 0.827
0.231 0.231 0.231
0.426 0.426 0.426
```

Polymorph energy (0 for the lowest one) in meV/atom: 172
Crystal system: trigonal
ΔE_f (raw) in eV/atom: -1.48
SG: R3m
E_tot in eV/f.u.: -37.3

Entry 25:
# PmHf2N4

Crystalline PmHf2N4 at its relaxed geometry (PBE, Alexandria).

The structure in POSCAR format:
```
PmHf2N4
1.0
1.626 -5.375 0.000
1.626 5.375 0.000
0.000 0.000 10.577
Pm Hf N
2 4 8
direct
0.109 0.891 0.750
0.891 0.109 0.250
0.368 0.632 0.568
0.368 0.632 0.932
0.632 0.368 0.068
0.632 0.368 0.432
0.000 0.000 0.000
0.000 0.000 0.500
0.263 0.737 0.112
0.263 0.737 0.388
0.446 0.554 0.750
0.554 0.446 0.250
0.737 0.263 0.612
0.737 0.263 0.888
```

Crystal system: orthorhombic
ΔE_f (raw) in eV/atom: -1.43
SG: Cmcm
E_tot in eV/f.u.: -68.0

Entry 26:
# PmHf3N4

Crystalline PmHf3N4 at its relaxed geometry (PBE, Alexandria).

The structure in POSCAR format:
```
PmHf3N4
1.0
3.269 0.000 0.000
-1.635 2.831 0.000
0.000 0.000 21.927
Pm Hf N
2 6 8
direct
0.333 0.667 0.250
0.667 0.333 0.750
0.000 0.000 0.000
0.000 0.000 0.500
0.333 0.667 0.619
0.333 0.667 0.881
0.667 0.333 0.119
0.667 0.333 0.381
0.000 0.000 0.172
0.000 0.000 0.328
0.000 0.000 0.672
0.000 0.000 0.828
0.333 0.667 0.059
0.333 0.667 0.441
0.667 0.333 0.559
0.667 0.333 0.941
```

Crystal system: hexagonal
ΔE_f (raw) in eV/atom: -1.69
SG: P6_3/mmc
E_tot in eV/f.u.: -81.5

Entry 27:
# Pm2HfN3

Crystalline Pm2HfN3 at its relaxed geometry (PBE, Alexandria).

The structure in POSCAR format:
```
Pm2HfN3
1.0
-1.744 1.744 7.360
1.744 -1.744 7.360
1.744 1.744 -7.360
Pm Hf N
2 1 3
direct
0.162 0.162 0.000
0.838 0.838 0.000
0.500 0.500 0.000
0.000 0.000 0.000
0.350 0.350 0.000
0.650 0.650 0.000
```

Crystal system: tetragonal
ΔE_f (raw) in eV/atom: -1.48
SG: I4/mmm
E_tot in eV/f.u.: -53.3